VASP calculation (PBE) on crystalline Nd2ReAgO8 at its relaxed geometry. Values from VASP.

Geometry as Quantum ESPRESSO input:
```
&SYSTEM
  ibrav = 0, nat = 12, ntyp = 4
/
ATOMIC_SPECIES
Nd 144.24 Nd.upf
Re 186.21 Re.upf
Ag 107.87 Ag.upf
O 16.00 O.upf
ATOMIC_POSITIONS crystal
Nd 0.112 0.499 0.252
Nd 0.888 0.501 0.748
Re 0.500 0.000 0.500
Ag 0.500 0.000 0.000
O 0.174 0.226 0.542
O 0.219 0.320 0.972
O 0.326 0.912 0.263
O 0.347 0.721 0.639
O 0.653 0.279 0.361
O 0.674 0.088 0.737
O 0.781 0.680 0.028
O 0.826 0.774 0.458
CELL_PARAMETERS angstrom
4.661 0.000 0.000
0.460 5.114 0.000
0.087 0.617 7.152
```

Properties
As for the total moment: 0.000 μB/cell. For the density, the calculation gives 6.9 g cm⁻³. For the formation energy (no corrections), the calculation gives -2278 kJ/mol of formula units. The crystal system is triclinic.